(1)
# BaMnTc2

BaMnTc2 at its PBEsol-relaxed geometry (meta-GGA SCAN, the Alexandria database).

Properties
magnetization: 1.9 μB/f.u.
polymorph energy (0 for the lowest one): 0 meV/atom
mass density: 9.31 Mg/m³
uncorrected energy: -30.813 eV per atom
ΔE_f: 112.8 kJ per mole of atoms
N(E_F): 1.081 states/eV/atom

abc: 4.6097 4.6097 4.6097
angles: 60.00 60.00 60.00
Closest atoms and distances in Å follow each position.
Sites, in units of the cell vectors:
Ba 0.5000 0.5000 0.5000  8 Tc 2.82
Tc 0.2500 0.2500 0.2500  4 Ba 2.82, 4 Mn 2.82
Tc 0.7500 0.7500 0.7500  4 Ba 2.82, 4 Mn 2.82
Mn 0.0000 0.0000 0.0000  8 Tc 2.82

=====

(2)
# BaMnTe

BaMnTe at its PBEsol-relaxed geometry (meta-GGA SCAN, the Alexandria database).

Properties
formation energy from raw total energies: -0.686 eV/atom
magnetization: 3.9 μB/f.u.
mass density: 6.05 Mg/m³
uncorrected energy: -32.372 eV per atom
N(E_F): 1.059 states/eV/atom

abc: 4.5900 4.5900 4.8085
angles: 90.00 90.00 120.00
Closest atoms and distances in Å follow each position.
Sites, in units of the cell vectors:
Mn 0.3333 0.6667 0.5000  3 Te 2.65
Ba 0.0000 0.0000 0.0000  6 Mn 3.58, 6 Te 3.58
Te 0.6667 0.3333 0.5000  3 Mn 2.65

=====

(3)
# BaTiMn3

BaTiMn3 at its PBEsol-relaxed geometry (meta-GGA SCAN, the Alexandria database).

Properties
magnetization: 9.6 μB/f.u.
mass density: 5.24 Mg/m³
uncorrected energy: -21.576 eV per atom
ΔE_f: 47.6 kJ per mole of atoms
N(E_F): 0.799 states/eV/atom

abc: 4.8044 4.8044 4.8044
angles: 90.00 90.00 90.00
Closest atoms and distances in Å follow each position.
Sites, in units of the cell vectors:
Mn 0.0000 0.0000 0.5000  2 Ti 2.40
Mn 0.5000 0.0000 0.0000  2 Ti 2.40
Mn 0.0000 0.5000 0.0000  2 Ti 2.40
Ti 0.0000 0.0000 0.0000  6 Mn 2.40
Ba 0.5000 0.5000 0.5000  12 Mn 3.40

=====

(4)
# BaTiMnW2

BaTiMnW2 at its PBEsol-relaxed geometry (meta-GGA SCAN, the Alexandria database).

Properties
magnetization: 1.5 μB/f.u.
mass density: 9.00 Mg/m³
uncorrected energy: -41.128 eV per atom
ΔE_f: 146.1 kJ per mole of atoms
N(E_F): 0.886 states/eV/atom

abc: 5.0297 4.7214 4.7214
angles: 90.00 90.00 90.00
Closest atoms and distances in Å follow each position.
Sites, in units of the cell vectors:
Ba 0.5000 0.5000 0.5000  4 Mn 3.34, 8 W 3.45
W 0.0000 0.0000 0.5000  2 Ti 2.36
W 0.0000 0.5000 0.0000  2 Ti 2.36
Mn 0.5000 0.0000 0.0000  2 Ti 2.51
Ti 0.0000 0.0000 0.0000  4 W 2.36, 2 Mn 2.51

=====

(5)
# BaMnTl

BaMnTl at its PBEsol-relaxed geometry (meta-GGA SCAN, the Alexandria database).

Properties
magnetization: 4.0 μB/f.u.
mass density: 7.15 Mg/m³
uncorrected energy: -43.567 eV per atom
ΔE_f: -17.2 kJ per mole of atoms
N(E_F): 0.554 states/eV/atom

abc: 4.6434 4.7862 4.7862
angles: 120.00 90.00 90.00
Closest atoms and distances in Å follow each position.
Sites, in units of the cell vectors:
Mn 0.0000 0.3333 0.6667  3 Tl 2.76
Ba 0.5000 0.0000 0.0000  6 Tl 3.61, 6 Mn 3.61
Tl 0.0000 0.6667 0.3333  3 Mn 2.76

=====

(6)
# BaMnTl2

BaMnTl2 at its PBEsol-relaxed geometry (meta-GGA SCAN, the Alexandria database).

Properties
magnetization: 4.6 μB/f.u.
mass density: 8.80 Mg/m³
uncorrected energy: -50.659 eV per atom
ΔE_f: -2.7 kJ per mole of atoms
N(E_F): 0.756 states/eV/atom

abc: 3.8101 3.8101 7.8140
angles: 90.00 90.00 90.00
Closest atoms and distances in Å follow each position.
Sites, in units of the cell vectors:
Tl 0.5000 0.5000 0.2049  1 Mn 2.97, 4 Tl 3.31
Tl 0.0000 0.0000 0.9592  4 Mn 2.89
Mn 0.5000 0.5000 0.8246  5 Tl 2.89-2.97
Ba 0.0000 0.0000 0.5112  5 Tl 3.50-3.60, 4 Mn 3.64, 4 Ba 3.81

=====

(7)
# BaMnTl2

BaMnTl2 at its PBEsol-relaxed geometry (meta-GGA SCAN, the Alexandria database).

Properties
magnetization: 4.6 μB/f.u.
mass density: 8.98 Mg/m³
uncorrected energy: -50.769 eV per atom
ΔE_f: -13.3 kJ per mole of atoms
N(E_F): 0.519 states/eV/atom

abc: 5.3972 5.3972 5.3972
angles: 60.00 60.00 60.00
Closest atoms and distances in Å follow each position.
Sites, in units of the cell vectors:
Tl 0.7500 0.7500 0.7500  4 Mn 3.31, 4 Ba 3.31
Tl 0.2500 0.2500 0.2500  4 Ba 3.31, 4 Mn 3.31
Mn 0.0000 0.0000 0.0000  8 Tl 3.31
Ba 0.5000 0.5000 0.5000  8 Tl 3.31

=====

(8)
# BaMnTl2

BaMnTl2 at its PBEsol-relaxed geometry (meta-GGA SCAN, the Alexandria database).

Properties
magnetization: 4.5 μB/f.u.
mass density: 8.27 Mg/m³
uncorrected energy: -50.877 eV per atom
ΔE_f: -23.8 kJ per mole of atoms
N(E_F): 0.537 states/eV/atom

abc: 4.7118 4.7137 6.8350
angles: 110.17 90.00 119.99
Closest atoms and distances in Å follow each position.
Sites, in units of the cell vectors:
Ba 0.5057 0.0113 0.5172  4 Mn 3.51-3.88, 6 Tl 3.54-3.58
Tl 0.7158 0.4315 0.1474  3 Mn 2.97, 3 Tl 3.20-3.21
Tl 0.9593 0.9185 0.8775  3 Mn 2.77
Mn 0.3193 0.6386 0.9580  6 Tl 2.77-2.97

=====

(9)
# BaMnW3

BaMnW3 at its PBEsol-relaxed geometry (meta-GGA SCAN, the Alexandria database).

Properties
magnetization: 2.0 μB/f.u.
mass density: 10.43 Mg/m³
uncorrected energy: -49.400 eV per atom
ΔE_f: 383.4 kJ per mole of atoms
N(E_F): 1.304 states/eV/atom

abc: 4.9106 4.9106 4.9106
angles: 90.00 90.00 90.00
Closest atoms and distances in Å follow each position.
Sites, in units of the cell vectors:
W 0.0000 0.5000 0.0000  2 Ba 2.46
W 0.0000 0.0000 0.5000  2 Ba 2.46
W 0.5000 0.0000 0.0000  2 Ba 2.46
Ba 0.0000 0.0000 0.0000  6 W 2.46
Mn 0.5000 0.5000 0.5000  12 W 3.47

=====

(10)
# Ba2MnW

Ba2MnW at its PBEsol-relaxed geometry (meta-GGA SCAN, the Alexandria database).

Properties
magnetization: 1.4 μB/f.u.
mass density: 8.10 Mg/m³
uncorrected energy: -40.542 eV per atom
ΔE_f: 117.6 kJ per mole of atoms
N(E_F): 0.843 states/eV/atom

abc: 5.2992 5.3012 5.2992
angles: 119.99 90.00 119.99
Closest atoms and distances in Å follow each position.
Sites, in units of the cell vectors:
Ba 0.0000 0.0000 0.0000  4 Ba 3.25, 4 W 3.25
Ba 0.7500 0.5000 0.2500  4 Ba 3.25, 4 Mn 3.25
Mn 0.5000 0.0000 0.5000  4 Ba 3.25, 4 W 3.25
W 0.2500 0.5000 0.7500  4 Ba 3.25, 4 Mn 3.25

=====

(11)
# BaYMn

BaYMn at its PBEsol-relaxed geometry (meta-GGA SCAN, the Alexandria database).

Properties
magnetization: 3.1 μB/f.u.
polymorph energy (0 for the lowest one): 0 meV/atom
mass density: 5.11 Mg/m³
uncorrected energy: -28.179 eV per atom
ΔE_f: 35.8 kJ per mole of atoms
N(E_F): 1.164 states/eV/atom

abc: 3.6356 3.6356 7.9831
angles: 90.00 90.00 120.00
Closest atoms and distances in Å follow each position.
Sites, in units of the cell vectors:
Mn 0.3333 0.6667 0.6479  3 Y 2.94, 3 Ba 3.27
Y 0.6667 0.3333 0.3907  3 Mn 2.94
Ba 0.0000 0.0000 0.9614  3 Mn 3.27, 6 Ba 3.64

=====

(12)
# BaYMn2

BaYMn2 at its PBEsol-relaxed geometry (meta-GGA SCAN, the Alexandria database).

Properties
magnetization: 7.6 μB/f.u.
mass density: 5.46 Mg/m³
uncorrected energy: -25.497 eV per atom
ΔE_f: 46.2 kJ per mole of atoms
N(E_F): 0.790 states/eV/atom

abc: 3.4136 3.4136 10.3259
angles: 80.49 80.49 60.00
Closest atoms and distances in Å follow each position.
Sites, in units of the cell vectors:
Y 0.4808 0.4808 0.5576  3 Mn 2.93
Mn 0.7428 0.7428 0.7716  3 Mn 2.69, 3 Y 2.93
Mn 0.0158 0.0158 0.9526  3 Mn 2.69
Ba 0.2606 0.2606 0.2182  3 Mn 3.34, 6 Ba 3.41

=====

Among the records above, which one has the highest mass density? BaMnW3

=====

The highest uncorrected energy belongs to which entry? BaTiMn3